# 1
Crystalline HfIn3Bi at its relaxed geometry. Source: Alexandria via LeMat-Bulk, functional PBE.

Output
**VASP energy**: -3.77 eV/atom
**Distance to the lowest polymorph of the same formula**: 0 meV/atom
**ΔH_f (0 K)**: 3.18 eV per formula unit
**Size of the total moment**: 0.000 μB/atom
**Fermi-level density of states**: 6.5 states/eV/f.u.
**Crystal system**: cubic

CIF file:
```
data_HfIn3Bi
_chemical_formula_sum 'Hf1 In3 Bi1'
_cell_length_a 5.582
_cell_length_b 5.582
_cell_length_c 5.582
_cell_angle_alpha 90.00
_cell_angle_beta 90.00
_cell_angle_gamma 90.00
_symmetry_space_group_name_H-M 'P m -3 m'
_symmetry_Int_Tables_number 221
_symmetry_space_group_name_Hall '-P 4 2 3'
loop_
_atom_site_label
_atom_site_type_symbol
_atom_site_fract_x
_atom_site_fract_y
_atom_site_fract_z
_atom_site_occupancy
Hf1 Hf 0.000 0.000 0.000 1
In1 In 0.000 0.000 0.500 1
Bi1 Bi 0.500 0.500 0.500 1
```

# 2
Crystalline HfIn2Bi at its relaxed geometry. Source: Alexandria via LeMat-Bulk, functional PBE.

Output
**VASP energy**: -4.56 eV/atom
**ΔH_f (0 K)**: 1.06 eV per formula unit
**Size of the total moment**: 0.000 μB/atom
**Fermi-level density of states**: 3.2 states/eV/f.u.
**Crystal system**: tetragonal

CIF file:
```
data_HfIn2Bi
_chemical_formula_sum 'Hf4 In8 Bi4'
_cell_length_a 8.439
_cell_length_b 8.439
_cell_length_c 6.106
_cell_angle_alpha 90.00
_cell_angle_beta 90.00
_cell_angle_gamma 90.00
_symmetry_space_group_name_H-M 'I -4 2 d'
_symmetry_Int_Tables_number 122
_symmetry_space_group_name_Hall 'I -4 2bw'
loop_
_atom_site_label
_atom_site_type_symbol
_atom_site_fract_x
_atom_site_fract_y
_atom_site_fract_z
_atom_site_occupancy
Hf1 Hf 0.000 0.000 0.000 1
In1 In 0.238 0.250 0.125 1
Bi1 Bi 0.000 0.000 0.500 1
```

# 3
Crystalline HfInBi2 at its relaxed geometry. Source: Alexandria via LeMat-Bulk, functional PBE.

Output
**VASP energy**: -5.07 eV/atom
**ΔH_f (0 K)**: 0.18 eV per formula unit
**Size of the total moment**: 0.000 μB/atom
**Fermi-level density of states**: 0.8 states/eV/f.u.
**Crystal system**: trigonal

CIF file:
```
data_HfInBi2
_chemical_formula_sum 'Hf3 In3 Bi6'
_cell_length_a 3.9293
_cell_length_b 3.9293
_cell_length_c 27.0510
_cell_angle_alpha 90.00
_cell_angle_beta 90.00
_cell_angle_gamma 120.00
_symmetry_space_group_name_H-M 'R 3 m'
_symmetry_Int_Tables_number 160
_symmetry_space_group_name_Hall 'R 3 -2"'
loop_
_atom_site_label
_atom_site_type_symbol
_atom_site_fract_x
_atom_site_fract_y
_atom_site_fract_z
_atom_site_occupancy
Hf1 Hf 0.0000 0.0000 0.0000 1
In1 In 0.0000 0.0000 0.8343 1
Bi1 Bi 0.0000 0.0000 0.4059 1
Bi2 Bi 0.0000 0.0000 0.5935 1
```

# 4
Crystalline Hf8In2Bi at its relaxed geometry. Source: Alexandria via LeMat-Bulk, functional PBE.

Output
**VASP energy**: -7.99 eV/atom
**ΔH_f (0 K)**: 1.05 eV per formula unit
**Size of the total moment**: 0.000 μB/atom
**Fermi-level density of states**: 10.6 states/eV/f.u.
**Crystal system**: monoclinic

CIF file:
```
data_Hf8In2Bi
_chemical_formula_sum 'Hf16 In4 Bi2'
_cell_length_a 14.914
_cell_length_b 5.859
_cell_length_c 5.856
_cell_angle_alpha 90.00
_cell_angle_beta 94.69
_cell_angle_gamma 90.00
_symmetry_space_group_name_H-M 'C 1 2/m 1'
_symmetry_Int_Tables_number 12
loop_
_symmetry_equiv_pos_as_xyz
'x,y,z'
'-x,-y,-z'
'-x,y,-z'
'x,-y,z'
'x+1/2,y+1/2,z'
'-x+1/2,-y+1/2,-z'
'-x+1/2,y+1/2,-z'
'x+1/2,-y+1/2,z'
loop_
_atom_site_label
_atom_site_type_symbol
_atom_site_fract_x
_atom_site_fract_y
_atom_site_fract_z
_atom_site_occupancy
Hf1 Hf 0.087 0.000 0.394 1
Hf2 Hf 0.089 0.238 0.885 1
Hf3 Hf 0.210 0.500 0.348 1
In1 In 0.244 0.000 0.150 1
Bi1 Bi 0.000 0.500 0.500 1
```

# 5
Crystalline Hf2InBi at its relaxed geometry. Source: Alexandria via LeMat-Bulk, functional PBE.

Output
**VASP energy**: -6.62 eV/atom
**Distance to the lowest polymorph of the same formula**: 0 meV/atom
**ΔH_f (0 K)**: 0.04 eV per formula unit
**Size of the total moment**: 0.000 μB/atom
**Fermi-level density of states**: 1.3 states/eV/f.u.
**Crystal system**: tetragonal

CIF file:
```
data_Hf2InBi
_chemical_formula_sum 'Hf2 In1 Bi1'
_cell_length_a 4.624
_cell_length_b 4.624
_cell_length_c 4.338
_cell_angle_alpha 90.00
_cell_angle_beta 90.00
_cell_angle_gamma 90.00
_symmetry_space_group_name_H-M 'P 4/m m m'
_symmetry_Int_Tables_number 123
_symmetry_space_group_name_Hall '-P 4 2'
loop_
_atom_site_label
_atom_site_type_symbol
_atom_site_fract_x
_atom_site_fract_y
_atom_site_fract_z
_atom_site_occupancy
Hf1 Hf 0.000 0.500 0.000 1
In1 In 0.000 0.000 0.500 1
Bi1 Bi 0.500 0.500 0.500 1
```

# 6
Crystalline HfIn2Bi at its relaxed geometry. Source: Alexandria via LeMat-Bulk, functional PBE.

Output
**VASP energy**: -4.50 eV/atom
**ΔH_f (0 K)**: 1.33 eV per formula unit
**Size of the total moment**: 0.000 μB/atom
**Fermi-level density of states**: 3.5 states/eV/f.u.
**Crystal system**: trigonal

CIF file:
```
data_HfIn2Bi
_chemical_formula_sum 'Hf3 In6 Bi3'
_cell_length_a 3.3033
_cell_length_b 3.3033
_cell_length_c 35.4237
_cell_angle_alpha 90.00
_cell_angle_beta 90.00
_cell_angle_gamma 120.00
_symmetry_space_group_name_H-M 'R -3 m'
_symmetry_Int_Tables_number 166
_symmetry_space_group_name_Hall '-R 3 2"'
loop_
_atom_site_label
_atom_site_type_symbol
_atom_site_fract_x
_atom_site_fract_y
_atom_site_fract_z
_atom_site_occupancy
Hf1 Hf 0.0000 0.0000 0.0000 1
In1 In 0.0000 0.0000 0.0834 1
Bi1 Bi 0.0000 0.0000 0.5000 1
```

# 7
Crystalline HfInBi3 at its relaxed geometry. Source: Alexandria via LeMat-Bulk, functional PBE.

Output
**VASP energy**: -4.61 eV/atom
**Distance to the lowest polymorph of the same formula**: 0 meV/atom
**ΔH_f (0 K)**: 1.29 eV per formula unit
**Size of the total moment**: 0.000 μB/atom
**Fermi-level density of states**: 3.5 states/eV/f.u.
**Crystal system**: cubic

CIF file:
```
data_HfInBi3
_chemical_formula_sum 'Hf1 In1 Bi3'
_cell_length_a 5.681
_cell_length_b 5.681
_cell_length_c 5.681
_cell_angle_alpha 90.00
_cell_angle_beta 90.00
_cell_angle_gamma 90.00
_symmetry_space_group_name_H-M 'P m -3 m'
_symmetry_Int_Tables_number 221
_symmetry_space_group_name_Hall '-P 4 2 3'
loop_
_atom_site_label
_atom_site_type_symbol
_atom_site_fract_x
_atom_site_fract_y
_atom_site_fract_z
_atom_site_occupancy
Hf1 Hf 0.000 0.000 0.000 1
In1 In 0.500 0.500 0.500 1
Bi1 Bi 0.000 0.000 0.500 1
```

# 8
Crystalline Hf2InBi at its relaxed geometry. Source: Alexandria via LeMat-Bulk, functional PBE.

Output
**VASP energy**: -6.58 eV/atom
**Distance to the lowest polymorph of the same formula**: 39 meV/atom
**ΔH_f (0 K)**: 0.20 eV per formula unit
**Size of the total moment**: 0.000 μB/atom
**Fermi-level density of states**: 3.6 states/eV/f.u.
**Crystal system**: trigonal

CIF file:
```
data_Hf2InBi
_chemical_formula_sum 'Hf6 In3 Bi3'
_cell_length_a 3.2813
_cell_length_b 3.2813
_cell_length_c 30.5254
_cell_angle_alpha 90.00
_cell_angle_beta 90.00
_cell_angle_gamma 120.00
_symmetry_space_group_name_H-M 'R 3 m'
_symmetry_Int_Tables_number 160
_symmetry_space_group_name_Hall 'R 3 -2"'
loop_
_atom_site_label
_atom_site_type_symbol
_atom_site_fract_x
_atom_site_fract_y
_atom_site_fract_z
_atom_site_occupancy
Hf1 Hf 0.0000 0.0000 0.0000 1
Hf2 Hf 0.0000 0.0000 0.1643 1
In1 In 0.0000 0.0000 0.4155 1
Bi1 Bi 0.0000 0.0000 0.5820 1
```

# 9
Crystalline HfInBi3 at its relaxed geometry. Source: Alexandria via LeMat-Bulk, functional PBE.

Output
**VASP energy**: -3.77 eV/atom
**Distance to the lowest polymorph of the same formula**: 841 meV/atom
**ΔH_f (0 K)**: 5.50 eV per formula unit
**Size of the total moment**: 0.000 μB/atom
**Fermi-level density of states**: 7.5 states/eV/f.u.
**Crystal system**: cubic

CIF file:
```
data_HfInBi3
_chemical_formula_sum 'Hf1 In1 Bi3'
_cell_length_a 5.616
_cell_length_b 5.616
_cell_length_c 5.616
_cell_angle_alpha 90.00
_cell_angle_beta 90.00
_cell_angle_gamma 90.00
_symmetry_space_group_name_H-M 'P m -3 m'
_symmetry_Int_Tables_number 221
_symmetry_space_group_name_Hall '-P 4 2 3'
loop_
_atom_site_label
_atom_site_type_symbol
_atom_site_fract_x
_atom_site_fract_y
_atom_site_fract_z
_atom_site_occupancy
Hf1 Hf 0.000 0.000 0.000 1
In1 In 0.500 0.500 0.500 1
Bi1 Bi 0.000 0.500 0.500 1
```

# 10
Crystalline Hf6InBi at its relaxed geometry. Source: Alexandria via LeMat-Bulk, functional PBE.

Output
**VASP energy**: -8.35 eV/atom
**Distance to the lowest polymorph of the same formula**: 0 meV/atom
**ΔH_f (0 K)**: -0.45 eV per formula unit
**Size of the total moment**: 0.000 μB/atom
**Fermi-level density of states**: 9.8 states/eV/f.u.
**Crystal system**: triclinic

CIF file:
```
data_Hf6InBi
_chemical_formula_sum 'Hf6 In1 Bi1'
_cell_length_a 5.626
_cell_length_b 5.628
_cell_length_c 5.631
_cell_angle_alpha 90.06
_cell_angle_beta 90.17
_cell_angle_gamma 90.05
_symmetry_space_group_name_H-M 'P -1'
_symmetry_Int_Tables_number 2
loop_
_symmetry_equiv_pos_as_xyz
'x,y,z'
'-x,-y,-z'
loop_
_atom_site_label
_atom_site_type_symbol
_atom_site_fract_x
_atom_site_fract_y
_atom_site_fract_z
_atom_site_occupancy
Hf1 Hf 0.001 0.000 0.253 1
Hf2 Hf 0.247 0.501 0.001 1
Hf3 Hf 0.499 0.252 0.500 1
In1 In 0.000 0.500 0.500 1
Bi1 Bi 0.500 0.000 0.000 1
```

# 11
Crystalline Hf2InBi at its relaxed geometry. Source: Alexandria via LeMat-Bulk, functional PBE.

Output
**VASP energy**: -6.51 eV/atom
**Distance to the lowest polymorph of the same formula**: 109 meV/atom
**ΔH_f (0 K)**: 0.48 eV per formula unit
**Size of the total moment**: 0.000 μB/atom
**Fermi-level density of states**: 3.3 states/eV/f.u.
**Crystal system**: cubic

CIF file:
```
data_Hf2InBi
_chemical_formula_sum 'Hf8 In4 Bi4'
_cell_length_a 7.189
_cell_length_b 7.189
_cell_length_c 7.189
_cell_angle_alpha 90.00
_cell_angle_beta 90.00
_cell_angle_gamma 90.00
_symmetry_space_group_name_H-M 'F m -3 m'
_symmetry_Int_Tables_number 225
_symmetry_space_group_name_Hall '-F 4 2 3'
loop_
_atom_site_label
_atom_site_type_symbol
_atom_site_fract_x
_atom_site_fract_y
_atom_site_fract_z
_atom_site_occupancy
Hf1 Hf 0.250 0.250 0.250 1
In1 In 0.000 0.000 0.000 1
Bi1 Bi 0.000 0.000 0.500 1
```

# 12
Crystalline Hf6InBi2 at its relaxed geometry. Source: Alexandria via LeMat-Bulk, functional PBE.

Output
**VASP energy**: -7.77 eV/atom
**ΔH_f (0 K)**: 0.33 eV per formula unit
**Size of the total moment**: 0.000 μB/atom
**Fermi-level density of states**: 6.0 states/eV/f.u.
**Crystal system**: monoclinic

CIF file:
```
data_Hf6InBi2
_chemical_formula_sum 'Hf12 In2 Bi4'
_cell_length_a 5.547
_cell_length_b 8.271
_cell_length_c 10.781
_cell_angle_alpha 90.00
_cell_angle_beta 120.08
_cell_angle_gamma 90.00
_symmetry_space_group_name_H-M 'P 1 21/c 1'
_symmetry_Int_Tables_number 14
loop_
_symmetry_equiv_pos_as_xyz
'x,y,z'
'-x,-y,-z'
'-x,y+1/2,-z+1/2'
'x,-y+1/2,z+1/2'
loop_
_atom_site_label
_atom_site_type_symbol
_atom_site_fract_x
_atom_site_fract_y
_atom_site_fract_z
_atom_site_occupancy
Hf1 Hf 0.004 0.199 0.433 1
Hf2 Hf 0.286 0.035 0.180 1
Hf3 Hf 0.358 0.659 0.453 1
In1 In 0.500 0.000 0.500 1
Bi1 Bi 0.142 0.116 0.736 1
```